# 1
The following is a DFT calculation (PBE) of a geometry-optimized Tb7Y2Ho structure.

Unit cell a=5.132 b=9.804 c=9.804 alpha=128.01 beta=90.00 gamma=90.00
Positions (direct):
Tb1 0.500 0.500 0.500
Tb2 0.500 0.925 0.714
Tb3 0.000 0.807 0.193
Tb4 0.500 0.075 0.286
Tb5 0.500 0.714 0.925
Tb6 0.000 0.193 0.807
Tb7 0.500 0.286 0.075
Y1 0.500 0.296 0.704
Y2 0.500 0.704 0.296
Ho1 0.000 0.000 0.000

Computed properties:
Its space group is No. 65. As for the energy above the most stable polymorph in this dataset: 670 meV/atom. For the total energy, the calculation gives -43.03 eV per cell. The calculation puts the volume at 38.9 A^3/atom.

---

# 2
The following is a DFT calculation (PBE) of a geometry-optimized TbYHo14 structure.

Unit cell a=7.093 b=7.093 c=11.401 alpha=90.00 beta=90.00 gamma=119.99
Positions (direct):
Ho1 0.375 0.625 0.750
Ho2 0.542 0.458 0.000
Ho3 0.374 0.125 0.249
Ho4 0.875 0.125 0.249
Ho5 0.708 0.792 0.500
Ho6 0.042 0.958 0.000
Ho7 0.542 0.958 0.000
Ho8 0.374 0.125 0.751
Ho9 0.208 0.292 0.500
Ho10 0.875 0.626 0.249
Ho11 0.375 0.625 0.250
Ho12 0.875 0.125 0.751
Ho13 0.042 0.458 0.000
Ho14 0.875 0.626 0.751
Y1 0.708 0.292 0.500
Tb1 0.208 0.792 0.500

Computed properties:
Its space group is No. 38. For the total energy, the calculation gives -75.11 eV per cell. The calculation puts the volume at 31.1 A^3/atom.

---

# 3
The following is a DFT calculation (PBE) of a geometry-optimized Tb15YHo4 structure.

Unit cell a=5.028 b=5.028 c=25.135 alpha=90.00 beta=90.00 gamma=90.00
Positions (direct):
Tb1 0.500 0.000 0.101
Tb2 0.500 0.500 0.400
Tb3 0.500 0.000 0.700
Tb4 0.000 0.500 0.899
Tb5 0.500 0.000 0.300
Tb6 0.500 0.500 0.800
Tb7 0.500 0.500 0.000
Tb8 0.500 0.000 0.500
Tb9 0.000 0.500 0.500
Tb10 0.000 0.500 0.700
Tb11 0.500 0.000 0.899
Tb12 0.500 0.500 0.600
Tb13 0.000 0.500 0.101
Tb14 0.500 0.500 0.200
Tb15 0.000 0.500 0.300
Ho1 0.000 0.000 0.800
Ho2 0.000 0.000 0.200
Ho3 0.000 0.000 0.400
Ho4 0.000 0.000 0.600
Y1 0.000 0.000 0.000

Computed properties:
Its space group is No. 123. For the total energy, the calculation gives -93.89 eV per cell. The calculation puts the volume at 31.8 A^3/atom.

---

# 4
The following is a DFT calculation (PBE) of a geometry-optimized Tb6Y5Ho2 structure.

Unit cell a=3.592 b=11.613 c=20.300 alpha=90.00 beta=90.00 gamma=90.00
Positions (direct):
Tb1 0.000 0.083 0.367
Tb2 0.500 0.829 0.364
Tb3 0.500 0.329 0.136
Tb4 0.000 0.917 0.633
Tb5 0.500 0.671 0.864
Tb6 0.000 0.583 0.133
Tb7 0.000 0.438 0.580
Tb8 0.000 0.562 0.420
Tb9 0.000 0.417 0.867
Tb10 0.000 0.938 0.920
Tb11 0.000 0.062 0.080
Tb12 0.500 0.171 0.636
Y1 0.500 0.197 0.947
Y2 0.500 0.000 0.500
Y3 0.500 0.591 0.274
Y4 0.500 0.303 0.447
Y5 0.500 0.409 0.726
Y6 0.500 0.803 0.053
Y7 0.500 0.909 0.774
Y8 0.500 0.697 0.553
Y9 0.500 0.091 0.226
Y10 0.500 0.500 0.000
Ho1 0.000 0.167 0.790
Ho2 0.000 0.833 0.210
Ho3 0.000 0.333 0.290
Ho4 0.000 0.667 0.710

Computed properties:
Its space group is No. 55. For the total energy, the calculation gives -135.93 eV per cell. The calculation puts the volume at 32.6 A^3/atom.